## Be3Mo (PBE-GGA)

Data for a geometry-optimized Be3Mo structure.

Computed properties:
offset from the most stable computed form	0.545	eV/atom
space-group type	No. 187
calculated total energy	-20.8	eV per formula unit
magnetic moment	0.000	μB per formula unit
N(E_F)	2.1	states/eV/f.u.
theoretical density	4.5	g cm⁻³
formation energy from the elements	0.31	eV per atom

Lattice parameters (Å, degrees): 2.5952 2.5952 7.7033 90.00 90.00 120.00
Closest atoms and distances in Å follow each position.
Sites, in units of the cell vectors:
Be  0.0000  0.0000  0.0000  6 Be 2.28
Be  0.3333  0.6667  0.2226  3 Be 2.28
Be  0.3333  0.6667  0.7774  3 Be 2.28
Mo  0.0000  0.0000  0.5000  6 Mo 2.60, 6 Be 2.61

***

## Zn6Ga2Ag (PBE-GGA)

Data for a geometry-optimized Zn6Ga2Ag structure.

Computed properties:
offset from the most stable computed form	0.017	eV/atom
space-group type	No. 15
calculated total energy	-16.2	eV per formula unit
magnetic moment	0.000	μB per formula unit
N(E_F)	2.2	states/eV/f.u.
theoretical density	7.1	g cm⁻³
formation energy from the elements	0.04	eV per atom

Lattice parameters (Å, degrees): 6.9134 6.9134 7.0567 108.93 108.93 92.31
Closest atoms and distances in Å follow each position.
Sites, in units of the cell vectors:
Zn  0.0919  0.8258  0.5326  2 Ga 2.56-2.74, 4 Zn 2.59-2.87
Zn  0.1282  0.4272  0.3852  7 Zn 2.59-2.90, 2 Ga 2.71-2.77, 1 Ag 2.72
Zn  0.1742  0.9081  0.9674  2 Ga 2.56-2.74, 4 Zn 2.59-2.87
Zn  0.2977  0.4984  0.8183  2 Zn 2.55-2.76, 1 Ga 2.58, 1 Ag 2.83
Zn  0.4272  0.1282  0.8852  7 Zn 2.59-2.90, 2 Ga 2.71-2.77, 1 Ag 2.72
Zn  0.4984  0.2977  0.3183  2 Zn 2.55-2.76, 1 Ga 2.58, 1 Ag 2.83
Zn  0.5016  0.7023  0.6817  2 Zn 2.55-2.76, 1 Ga 2.58, 1 Ag 2.83
Zn  0.5728  0.8718  0.1148  7 Zn 2.59-2.90, 2 Ga 2.71-2.77, 1 Ag 2.72
Zn  0.7023  0.5016  0.1817  2 Zn 2.55-2.76, 1 Ga 2.58, 1 Ag 2.83
Zn  0.8258  0.0919  0.0326  2 Ga 2.56-2.74, 4 Zn 2.59-2.87
Zn  0.8718  0.5728  0.6148  7 Zn 2.59-2.90, 2 Ga 2.71-2.77, 1 Ag 2.72
Zn  0.9081  0.1742  0.4674  2 Ga 2.56-2.74, 4 Zn 2.59-2.87
Ga  0.0979  0.2916  0.9608  5 Zn 2.56-2.77, 2 Ag 2.79-2.86
Ga  0.2916  0.0979  0.4608  5 Zn 2.56-2.77, 2 Ag 2.79-2.86
Ga  0.7084  0.9021  0.5392  5 Zn 2.56-2.77, 2 Ag 2.79-2.86
Ga  0.9021  0.7084  0.0392  5 Zn 2.56-2.77, 2 Ag 2.79-2.86
Ag  0.3234  0.6766  0.2500  8 Zn 2.72-3.04, 4 Ga 2.79-2.86
Ag  0.6766  0.3234  0.7500  8 Zn 2.72-3.04, 4 Ga 2.79-2.86

***

Repeat the first record exactly.
## Be3Mo (PBE-GGA)

Data for a geometry-optimized Be3Mo structure.

Computed properties:
offset from the most stable computed form	0.545	eV/atom
space-group type	No. 187
calculated total energy	-20.8	eV per formula unit
magnetic moment	0.000	μB per formula unit
N(E_F)	2.1	states/eV/f.u.
theoretical density	4.5	g cm⁻³
formation energy from the elements	0.31	eV per atom

Lattice parameters (Å, degrees): 2.5952 2.5952 7.7033 90.00 90.00 120.00
Closest atoms and distances in Å follow each position.
Sites, in units of the cell vectors:
Be  0.0000  0.0000  0.0000  6 Be 2.28
Be  0.3333  0.6667  0.2226  3 Be 2.28
Be  0.3333  0.6667  0.7774  3 Be 2.28
Mo  0.0000  0.0000  0.5000  6 Mo 2.60, 6 Be 2.61

***

> Which value of calculated total energy does entry 1 give?

-20.8 eV per formula unit

***

> The highest N(E_F) belongs to which entry?

Zn6Ga2Ag

***

> Which value of magnetic moment does entry 1 give?

0.000 μB per formula unit